<i>
! TaNiSe, relaxed, DFT PBE; values from VASP
&SYSTEM
  ibrav = 0, nat = 3, ntyp = 3
/
ATOMIC_SPECIES
Ni 58.69 Ni.upf
Se 78.96 Se.upf
Ta 180.95 Ta.upf
CELL_PARAMETERS angstrom
-4.098 0.788 -2.733
-4.833 -1.190 -0.321
-1.726 2.323 1.378
ATOMIC_POSITIONS crystal
Ni 0.999 0.999 0.001
Se 0.338 0.338 0.662
Ta 0.663 0.663 0.337
! Total magnetic moment: 0.0000 μB/atom
! N(E_F): 2.8 states/eV per cell
! Symmetry: No. 107



<ii>
! TaNiSe, relaxed, DFT PBE; values from VASP
&SYSTEM
  ibrav = 0, nat = 6, ntyp = 3
/
ATOMIC_SPECIES
Ta 180.95 Ta.upf
Se 78.96 Se.upf
Ni 58.69 Ni.upf
CELL_PARAMETERS angstrom
-0.362 -3.424 -0.806
1.017 -1.186 -3.172
10.085 -3.496 2.569
ATOMIC_POSITIONS crystal
Ta 0.561 0.561 0.317
Ta 0.439 0.439 0.683
Se 0.279 0.279 0.162
Se 0.721 0.721 0.838
Ni 0.851 0.851 0.447
Ni 0.149 0.149 0.553
! Total magnetic moment: 0.0000 μB/atom
! N(E_F): 3.7 states/eV per cell
! Symmetry: No. 166



What should be chosen as the most stable of them? Choose <ii>.



<i>
! TcNiSe, relaxed, DFT PBE; values from VASP
&SYSTEM
  ibrav = 0, nat = 3, ntyp = 3
/
ATOMIC_SPECIES
Ni 58.69 Ni.upf
Se 78.96 Se.upf
Tc 98.00 Tc.upf
CELL_PARAMETERS angstrom
-1.219 -0.465 3.783
-1.655 -3.454 1.159
1.994 -2.448 2.458
ATOMIC_POSITIONS crystal
Ni 0.500 0.500 0.500
Se 0.250 0.250 0.250
Tc 0.000 0.000 0.000
! Total magnetic moment: 0.0000 μB/atom
! N(E_F): 3.2 states/eV per cell
! Symmetry: No. 216



<ii>
! TcNiSe, relaxed, DFT PBE; values from VASP
&SYSTEM
  ibrav = 0, nat = 3, ntyp = 3
/
ATOMIC_SPECIES
Ni 58.69 Ni.upf
Se 78.96 Se.upf
Tc 98.00 Tc.upf
CELL_PARAMETERS angstrom
2.950 0.000 0.000
-1.475 2.555 0.000
0.000 0.000 5.823
ATOMIC_POSITIONS crystal
Ni 0.000 0.000 0.001
Se 0.333 0.667 0.339
Tc 0.667 0.333 0.660
! Total magnetic moment: 0.0001 μB/atom
! N(E_F): 3.7 states/eV per cell
! Symmetry: No. 156



<iii>
! TcNiSe, relaxed, DFT PBE; values from VASP
&SYSTEM
  ibrav = 0, nat = 3, ntyp = 3
/
ATOMIC_SPECIES
Ni 58.69 Ni.upf
Se 78.96 Se.upf
Tc 98.00 Tc.upf
CELL_PARAMETERS angstrom
6.838 0.006 -0.005
6.025 2.657 -0.086
0.813 -0.955 2.474
ATOMIC_POSITIONS crystal
Ni 0.003 0.003 0.997
Se 0.336 0.336 0.664
Tc 0.661 0.661 0.339
! Total magnetic moment: 0.0000 μB/atom
! N(E_F): 3.4 states/eV per cell
! Symmetry: No. 42



<iv>
! TcNiSe, relaxed, DFT PBE; values from VASP
&SYSTEM
  ibrav = 0, nat = 3, ntyp = 3
/
ATOMIC_SPECIES
Ni 58.69 Ni.upf
Se 78.96 Se.upf
Tc 98.00 Tc.upf
CELL_PARAMETERS angstrom
-3.066 1.799 -1.926
0.311 -4.031 -0.017
-1.707 -0.142 2.585
ATOMIC_POSITIONS crystal
Ni 0.000 0.000 0.052
Se 0.333 0.667 0.391
Tc 0.667 0.333 0.557
! Total magnetic moment: 0.0000 μB/atom
! N(E_F): 2.4 states/eV per cell
! Symmetry: No. 156



What should be chosen as the most stable of them? Choose <i>.



<i>
! TcNiSe3, relaxed, DFT PBE; values from VASP
&SYSTEM
  ibrav = 0, nat = 5, ntyp = 3
/
ATOMIC_SPECIES
Ni 58.69 Ni.upf
Tc 98.00 Tc.upf
Se 78.96 Se.upf
CELL_PARAMETERS angstrom
4.857 0.000 0.000
0.000 4.857 0.000
0.000 0.000 4.857
ATOMIC_POSITIONS crystal
Ni 0.500 0.500 0.500
Tc 0.000 0.000 0.000
Se 0.000 0.500 0.000
Se 0.000 0.000 0.500
Se 0.500 0.000 0.000
! Total magnetic moment: 0.1647 μB/atom
! N(E_F): 9.9 states/eV per cell
! Symmetry: No. 221



<ii>
! TcNiSe3, relaxed, DFT PBE; values from VASP
&SYSTEM
  ibrav = 0, nat = 5, ntyp = 3
/
ATOMIC_SPECIES
Ni 58.69 Ni.upf
Tc 98.00 Tc.upf
Se 78.96 Se.upf
CELL_PARAMETERS angstrom
-0.341 4.634 -0.608
-0.676 -0.652 -4.591
-4.625 -0.246 0.716
ATOMIC_POSITIONS crystal
Ni 0.000 0.000 0.000
Tc 0.500 0.500 0.500
Se 0.000 0.500 0.000
Se 0.000 0.000 0.500
Se 0.500 0.000 0.000
! Total magnetic moment: 0.6847 μB/atom
! N(E_F): 4.0 states/eV per cell
! Symmetry: No. 221



What should be chosen as the most stable of them? Choose <ii>.



<i>
! Tl2TcNiSe, relaxed, DFT PBE; values from VASP
&SYSTEM
  ibrav = 0, nat = 5, ntyp = 4
/
ATOMIC_SPECIES
Ni 58.69 Ni.upf
Tl 204.38 Tl.upf
Tc 98.00 Tc.upf
Se 78.96 Se.upf
CELL_PARAMETERS angstrom
5.433 0.000 0.000
0.000 4.617 0.000
0.000 0.000 5.433
ATOMIC_POSITIONS crystal
Ni 0.500 0.500 0.500
Tl 0.000 0.000 0.500
Tl 0.500 0.000 0.000
Tc 0.000 0.000 0.000
Se 0.000 0.500 0.000
! Total magnetic moment: 0.0499 μB/atom
! N(E_F): 12.7 states/eV per cell
! Symmetry: No. 123



<ii>
! Tl2TcNiSe, relaxed, DFT PBE; values from VASP
&SYSTEM
  ibrav = 0, nat = 5, ntyp = 4
/
ATOMIC_SPECIES
Ni 58.69 Ni.upf
Tl 204.38 Tl.upf
Tc 98.00 Tc.upf
Se 78.96 Se.upf
CELL_PARAMETERS angstrom
5.390 0.000 0.000
0.000 4.474 0.000
0.000 0.000 5.390
ATOMIC_POSITIONS crystal
Ni 0.000 0.500 0.000
Tl 0.000 0.000 0.500
Tl 0.500 0.000 0.000
Tc 0.000 0.000 0.000
Se 0.500 0.500 0.500
! Total magnetic moment: 0.1604 μB/atom
! N(E_F): 6.4 states/eV per cell
! Symmetry: No. 123



What should be chosen as the most stable of them? Choose <i>.



<i>
! Ni2TeSe, relaxed, DFT PBE; values from VASP
&SYSTEM
  ibrav = 0, nat = 4, ntyp = 3
/
ATOMIC_SPECIES
Ni 58.69 Ni.upf
Te 127.60 Te.upf
Se 78.96 Se.upf
CELL_PARAMETERS angstrom
3.293 0.014 0.000
-0.014 3.293 0.000
0.000 0.000 6.922
ATOMIC_POSITIONS crystal
Ni 0.000 0.000 0.036
Ni 0.500 0.500 0.234
Te 0.500 0.500 0.858
Se 0.000 0.000 0.372
! Total magnetic moment: 0.0000 μB/atom
! N(E_F): 1.6 states/eV per cell
! Symmetry: No. 99



<ii>
! Ni2TeSe, relaxed, DFT PBE; values from VASP
&SYSTEM
  ibrav = 0, nat = 8, ntyp = 3
/
ATOMIC_SPECIES
Ni 58.69 Ni.upf
Te 127.60 Te.upf
Se 78.96 Se.upf
CELL_PARAMETERS angstrom
3.908 -0.015 1.039
-0.961 5.515 3.559
-0.051 0.566 8.030
ATOMIC_POSITIONS crystal
Ni 0.227 0.416 0.316
Ni 0.487 0.188 0.808
Ni 0.024 0.028 0.731
Ni 0.736 0.976 0.309
Te 0.429 0.740 0.917
Te 0.681 0.541 0.412
Se 0.170 0.001 0.441
Se 0.922 0.206 0.939
! Total magnetic moment: 0.0000 μB/atom
! N(E_F): 5.6 states/eV per cell
! Symmetry: No. 1



<iii>
! Ni2TeSe, relaxed, DFT PBE; values from VASP
&SYSTEM
  ibrav = 0, nat = 4, ntyp = 3
/
ATOMIC_SPECIES
Ni 58.69 Ni.upf
Se 78.96 Se.upf
Te 127.60 Te.upf
CELL_PARAMETERS angstrom
-2.071 0.576 -3.001
4.518 -2.573 -3.611
1.783 -4.378 -2.070
ATOMIC_POSITIONS crystal
Ni 0.000 0.000 0.000
Ni 0.500 0.500 0.000
Se 0.500 0.500 0.500
Te 0.000 0.000 0.500
! Total magnetic moment: 0.0000 μB/atom
! N(E_F): 3.3 states/eV per cell
! Symmetry: No. 10



What should be chosen as the most stable of them? Choose <ii>.



<i>
! Ni3TeSe, relaxed, DFT PBE; values from VASP
&SYSTEM
  ibrav = 0, nat = 5, ntyp = 3
/
ATOMIC_SPECIES
Ni 58.69 Ni.upf
Te 127.60 Te.upf
Se 78.96 Se.upf
CELL_PARAMETERS angstrom
4.457 0.000 0.000
0.000 4.457 0.000
0.000 0.000 4.457
ATOMIC_POSITIONS crystal
Ni 0.000 0.500 0.000
Ni 0.000 0.000 0.500
Ni 0.500 0.000 0.000
Te 0.500 0.500 0.500
Se 0.000 0.000 0.000
! Total magnetic moment: 0.0000 μB/atom
! N(E_F): 5.3 states/eV per cell
! Symmetry: No. 221



<ii>
! Ni3TeSe, relaxed, DFT PBE; values from VASP
&SYSTEM
  ibrav = 0, nat = 5, ntyp = 3
/
ATOMIC_SPECIES
Ni 58.69 Ni.upf
Te 127.60 Te.upf
Se 78.96 Se.upf
CELL_PARAMETERS angstrom
-0.655 -3.501 3.055
3.980 1.169 2.193
-2.398 2.897 2.806
ATOMIC_POSITIONS crystal
Ni 0.000 0.500 0.000
Ni 0.000 0.000 0.500
Ni 0.500 0.000 0.000
Te 0.000 0.000 0.000
Se 0.500 0.500 0.500
! Total magnetic moment: 0.2993 μB/atom
! N(E_F): 5.5 states/eV per cell
! Symmetry: No. 221



What should be chosen as the most stable of them? Choose <i>.



<i>
! Th2NiSe, relaxed, DFT PBE; values from VASP
&SYSTEM
  ibrav = 0, nat = 4, ntyp = 3
/
ATOMIC_SPECIES
Ni 58.69 Ni.upf
Se 78.96 Se.upf
Th 232.04 Th.upf
CELL_PARAMETERS angstrom
-3.696 0.540 1.619
-3.308 -1.255 -2.014
-1.864 -6.618 3.071
ATOMIC_POSITIONS crystal
Ni 0.000 0.000 0.000
Se 0.500 0.500 0.500
Th 0.259 0.259 0.222
Th 0.741 0.741 0.778
! Total magnetic moment: 0.0000 μB/atom
! N(E_F): 3.4 states/eV per cell
! Symmetry: No. 166



<ii>
! Th2NiSe, relaxed, DFT PBE; values from VASP
&SYSTEM
  ibrav = 0, nat = 4, ntyp = 3
/
ATOMIC_SPECIES
Th 232.04 Th.upf
Ni 58.69 Ni.upf
Se 78.96 Se.upf
CELL_PARAMETERS angstrom
3.996 0.000 0.000
1.998 3.461 0.000
0.000 0.000 7.338
ATOMIC_POSITIONS crystal
Th 0.667 0.667 0.225
Th 0.333 0.333 0.775
Ni 0.000 0.000 0.000
Se 0.000 0.000 0.500
! Total magnetic moment: 0.0000 μB/atom
! N(E_F): 2.5 states/eV per cell
! Symmetry: No. 164



<iii>
! Th2NiSe, relaxed, DFT PBE; values from VASP
&SYSTEM
  ibrav = 0, nat = 4, ntyp = 3
/
ATOMIC_SPECIES
Th 232.04 Th.upf
Ni 58.69 Ni.upf
Se 78.96 Se.upf
CELL_PARAMETERS angstrom
4.013 0.000 0.000
2.006 3.475 0.000
2.006 1.158 7.429
ATOMIC_POSITIONS crystal
Th 0.072 0.072 0.783
Th 0.261 0.261 0.218
Ni 0.668 0.668 0.997
Se 0.499 0.499 0.502
! Total magnetic moment: 0.0000 μB/atom
! N(E_F): 2.7 states/eV per cell
! Symmetry: No. 160



What should be chosen as the most stable of them? Choose <i>.



<i>
! ThNiSe, relaxed, DFT PBE; values from VASP
&SYSTEM
  ibrav = 0, nat = 3, ntyp = 3
/
ATOMIC_SPECIES
Ni 58.69 Ni.upf
Se 78.96 Se.upf
Th 232.04 Th.upf
CELL_PARAMETERS angstrom
4.130 0.000 0.000
0.000 4.059 0.000
0.000 -2.030 3.515
ATOMIC_POSITIONS crystal
Ni 0.167 0.333 0.667
Se 0.166 0.000 0.000
Th 0.666 0.667 0.333
! Total magnetic moment: 0.0000 μB/atom
! N(E_F): 0.1 states/eV per cell
! Symmetry: No. 187



<ii>
! ThNiSe, relaxed, DFT PBE; values from VASP
&SYSTEM
  ibrav = 0, nat = 6, ntyp = 3
/
ATOMIC_SPECIES
Th 232.04 Th.upf
Ni 58.69 Ni.upf
Se 78.96 Se.upf
CELL_PARAMETERS angstrom
-2.583 -0.056 3.122
-3.300 -2.346 -0.142
4.945 -7.244 6.593
ATOMIC_POSITIONS crystal
Th 0.765 0.115 0.355
Th 0.235 0.885 0.645
Ni 0.469 0.271 0.792
Ni 0.531 0.729 0.208
Se 0.229 0.380 0.162
Se 0.771 0.620 0.838
! Total magnetic moment: 0.2830 μB/atom
! N(E_F): 2.3 states/eV per cell
! Symmetry: No. 12



<iii>
! ThNiSe, relaxed, DFT PBE; values from VASP
&SYSTEM
  ibrav = 0, nat = 6, ntyp = 3
/
ATOMIC_SPECIES
Th 232.04 Th.upf
Ni 58.69 Ni.upf
Se 78.96 Se.upf
CELL_PARAMETERS angstrom
4.183 -0.020 -0.014
-2.077 3.631 0.014
-1.974 -1.269 10.779
ATOMIC_POSITIONS crystal
Th 0.886 0.439 0.324
Th 0.114 0.561 0.676
Ni 0.322 0.161 0.483
Ni 0.678 0.839 0.517
Se 0.547 0.281 0.828
Se 0.453 0.719 0.172
! Total magnetic moment: 0.0000 μB/atom
! N(E_F): 1.4 states/eV per cell
! Symmetry: No. 12



What should be chosen as the most stable of them? Choose <i>.



<i>
! TiNiSe3, relaxed, DFT PBE; values from VASP
&SYSTEM
  ibrav = 0, nat = 10, ntyp = 3
/
ATOMIC_SPECIES
Ti 47.87 Ti.upf
Ni 58.69 Ni.upf
Se 78.96 Se.upf
CELL_PARAMETERS angstrom
-0.692 3.640 -0.549
0.317 -0.896 -6.347
-9.546 -1.356 3.037
ATOMIC_POSITIONS crystal
Ti 0.250 0.251 0.556
Ti 0.750 0.749 0.444
Ni 0.250 0.120 0.153
Ni 0.750 0.880 0.847
Se 0.750 0.083 0.667
Se 0.750 0.561 0.641
Se 0.250 0.917 0.333
Se 0.250 0.439 0.359
Se 0.250 0.808 0.955
Se 0.750 0.192 0.045
! Total magnetic moment: 0.0891 μB/atom
! N(E_F): 4.5 states/eV per cell
! Symmetry: No. 11



<ii>
! TiNiSe3, relaxed, DFT PBE; values from VASP
&SYSTEM
  ibrav = 0, nat = 5, ntyp = 3
/
ATOMIC_SPECIES
Ni 58.69 Ni.upf
Se 78.96 Se.upf
Ti 47.87 Ti.upf
CELL_PARAMETERS angstrom
4.648 0.000 0.000
0.000 4.648 0.000
0.000 0.000 4.648
ATOMIC_POSITIONS crystal
Ni 0.000 0.000 0.000
Se 0.000 0.500 0.000
Se 0.000 0.000 0.500
Se 0.500 0.000 0.000
Ti 0.500 0.500 0.500
! Total magnetic moment: 0.0000 μB/atom
! N(E_F): 6.2 states/eV per cell
! Symmetry: No. 221



What should be chosen as the most stable of them? Choose <i>.



<i>
! TiNi2Se2, relaxed, DFT PBE; values from VASP
&SYSTEM
  ibrav = 0, nat = 5, ntyp = 3
/
ATOMIC_SPECIES
Ni 58.69 Ni.upf
Se 78.96 Se.upf
Ti 47.87 Ti.upf
CELL_PARAMETERS angstrom
-2.911 -0.928 -3.384
0.287 -4.445 0.972
-3.606 0.420 2.987
ATOMIC_POSITIONS crystal
Ni 0.000 0.500 0.000
Ni 0.500 0.000 0.000
Se 0.500 0.500 0.500
Se 0.000 0.000 0.500
Ti 0.000 0.000 0.000
! Total magnetic moment: 0.0000 μB/atom
! N(E_F): 3.2 states/eV per cell
! Symmetry: No. 123



<ii>
! TiNi2Se2, relaxed, DFT PBE; values from VASP
&SYSTEM
  ibrav = 0, nat = 5, ntyp = 3
/
ATOMIC_SPECIES
Ni 58.69 Ni.upf
Se 78.96 Se.upf
Ti 47.87 Ti.upf
CELL_PARAMETERS angstrom
-2.941 2.027 -2.887
-3.370 -0.504 3.079
-2.295 4.136 1.589
ATOMIC_POSITIONS crystal
Ni 0.343 0.343 0.313
Ni 0.657 0.657 0.687
Se 0.750 0.250 0.500
Se 0.250 0.750 0.500
Ti 0.000 0.000 0.000
! Total magnetic moment: 0.0000 μB/atom
! N(E_F): 4.8 states/eV per cell
! Symmetry: No. 139



What should be chosen as the most stable of them? Choose <ii>.



<i>
! TiNi2Se2, relaxed, DFT PBE; values from VASP
&SYSTEM
  ibrav = 0, nat = 5, ntyp = 3
/
ATOMIC_SPECIES
Ni 58.69 Ni.upf
Se 78.96 Se.upf
Ti 47.87 Ti.upf
CELL_PARAMETERS angstrom
-0.256 -3.177 1.273
3.412 -0.139 0.340
1.087 0.753 6.724
ATOMIC_POSITIONS crystal
Ni 0.750 0.250 0.500
Ni 0.250 0.750 0.500
Se 0.386 0.386 0.228
Se 0.614 0.614 0.772
Ti 0.000 0.000 0.000
! Total magnetic moment: 0.0000 μB/atom
! N(E_F): 3.6 states/eV per cell
! Symmetry: No. 139



<ii>
! TiNi2Se2, relaxed, DFT PBE; values from VASP
&SYSTEM
  ibrav = 0, nat = 10, ntyp = 3
/
ATOMIC_SPECIES
Ni 58.69 Ni.upf
Se 78.96 Se.upf
Ti 47.87 Ti.upf
CELL_PARAMETERS angstrom
-1.268 1.270 -6.554
2.460 -6.113 -1.661
-2.962 -1.280 0.325
ATOMIC_POSITIONS crystal
Ni 0.137 0.637 0.500
Ni 0.637 0.863 0.500
Ni 0.863 0.363 0.500
Ni 0.363 0.137 0.500
Se 0.333 0.833 0.000
Se 0.833 0.667 0.000
Se 0.667 0.167 0.000
Se 0.167 0.333 0.000
Ti 0.000 0.000 0.000
Ti 0.500 0.500 0.000
! Total magnetic moment: 0.0000 μB/atom
! N(E_F): 4.9 states/eV per cell
! Symmetry: No. 127



What should be chosen as the most stable of them? Choose <i>.



<i>
! TlNiSe4, relaxed, DFT PBE; values from VASP
&SYSTEM
  ibrav = 0, nat = 12, ntyp = 3
/
ATOMIC_SPECIES
Tl 204.38 Tl.upf
Ni 58.69 Ni.upf
Se 78.96 Se.upf
CELL_PARAMETERS angstrom
8.153 2.252 -1.811
-0.007 6.164 -3.108
0.084 -0.677 6.801
ATOMIC_POSITIONS crystal
Tl 0.333 0.410 0.558
Tl 0.667 0.590 0.442
Ni 0.804 0.972 0.987
Ni 0.196 0.028 0.013
Se 0.008 0.415 0.127
Se 0.058 0.952 0.217
Se 0.334 0.994 0.731
Se 0.666 0.006 0.269
Se 0.992 0.585 0.873
Se 0.559 0.170 0.874
Se 0.441 0.830 0.126
Se 0.942 0.048 0.783
! Total magnetic moment: 0.0000 μB/atom
! N(E_F): 3.8 states/eV per cell
! Symmetry: No. 2



<ii>
! TlNiSe4, relaxed, DFT PBE; values from VASP
&SYSTEM
  ibrav = 0, nat = 6, ntyp = 3
/
ATOMIC_SPECIES
Tl 204.38 Tl.upf
Ni 58.69 Ni.upf
Se 78.96 Se.upf
CELL_PARAMETERS angstrom
2.459 -4.578 -2.596
-3.272 -4.506 -1.651
-0.942 -0.991 -5.645
ATOMIC_POSITIONS crystal
Tl 0.750 0.750 0.750
Ni 0.000 0.000 0.000
Se 0.879 0.374 0.374
Se 0.374 0.374 0.879
Se 0.374 0.879 0.374
Se 0.374 0.374 0.374
! Total magnetic moment: 0.1595 μB/atom
! N(E_F): 8.5 states/eV per cell
! Symmetry: No. 216



What should be chosen as the most stable of them? Choose <i>.